(1)
Here is a relaxed Li4AgHg crystal from Alexandria via LeMat-Bulk. Energies are from GGA-PBE.

abc: 5.173 5.173 5.173
angles: 60.00 60.00 60.00
Atoms (fractional coordinates):
1 Li 0.125 0.125 0.125
2 Li 0.125 0.125 0.625
3 Li 0.125 0.625 0.125
4 Li 0.625 0.125 0.125
5 Ag 0.750 0.750 0.750
6 Hg 0.500 0.500 0.500

Results
Relative energy among the computed polymorphs: 0.084 eV/atom
Total energy: -1.880 eV per atom
E_form: -79 meV/atom


(2)
Here is a relaxed Li8AgHg2 crystal from Alexandria via LeMat-Bulk. Energies are from GGA-PBE.

abc: 7.415 7.415 4.885
angles: 104.22 104.22 119.41
Atoms (fractional coordinates):
1 Li 0.094 0.317 0.624
2 Li 0.212 0.788 0.000
3 Li 0.317 0.094 0.624
4 Li 0.388 0.388 0.189
5 Li 0.612 0.612 0.811
6 Li 0.683 0.906 0.376
7 Li 0.788 0.212 0.000
8 Li 0.906 0.683 0.376
9 Ag 0.000 0.000 0.000
10 Hg 0.309 0.691 0.500
11 Hg 0.691 0.309 0.500

Results
Relative energy among the computed polymorphs: 0.043 eV/atom
Total energy: -1.878 eV per atom
E_form: -172 meV/atom